Record 1
! PBE HgPIr2, optimized geometry; values from VASP
&SYSTEM
  ibrav = 0, nat = 4, ntyp = 3
/
ATOMIC_SPECIES
Ir 192.22 Ir.upf
Hg 200.59 Hg.upf
P 30.97 P.upf
CELL_PARAMETERS angstrom
-3.2366 -0.7804 -3.1614
0.6711 -4.3501 1.3059
-2.1530 0.3068 2.1284
ATOMIC_POSITIONS crystal
Ir 0.0000 0.0000 0.0000
Ir 0.5000 0.5000 0.0000
Hg 0.0000 0.5000 0.5000
P 0.5000 0.0000 0.5000
! Space group = Cmmm
! Energy relative to the lowest polymorph listed for this composition = 13.254 kcal/mol of atoms
! DFT formation energy = 57.6 kJ per mole of atoms
! E = -0.38667 Ry/atom
! Crystal system = orthorhombic

***

Record 2
! PBE HgPIr2, optimized geometry; values from VASP
&SYSTEM
  ibrav = 0, nat = 4, ntyp = 3
/
ATOMIC_SPECIES
Hg 200.59 Hg.upf
Ir 192.22 Ir.upf
P 30.97 P.upf
CELL_PARAMETERS angstrom
7.5143 0.0188 -0.0087
6.2557 4.1631 0.0087
-6.8385 -2.2441 2.1597
ATOMIC_POSITIONS crystal
Hg 0.6923 0.1923 0.5000
Ir 0.3315 0.8315 0.5000
Ir 0.0233 0.0233 0.0000
P 0.4529 0.4529 0.0000
! Space group = Imm2
! Energy relative to the lowest polymorph listed for this composition = 0.705 kcal/mol of atoms
! DFT formation energy = 5.1 kJ per mole of atoms
! E = -0.42667 Ry/atom
! Crystal system = orthorhombic

***

Record 3
! PBE HgP2Ir, optimized geometry; values from VASP
&SYSTEM
  ibrav = 0, nat = 4, ntyp = 3
/
ATOMIC_SPECIES
P 30.97 P.upf
Ir 192.22 Ir.upf
Hg 200.59 Hg.upf
CELL_PARAMETERS angstrom
3.4381 0.0000 0.0000
0.0000 3.8362 0.0153
0.0000 1.8155 5.7531
ATOMIC_POSITIONS crystal
P 0.5000 0.2646 0.0561
P 0.0000 0.8826 0.0856
Ir 0.5000 0.8521 0.8141
Hg 0.0000 0.5007 0.5442
! Space group = Pm
! DFT formation energy = 12.3 kJ per mole of atoms
! E = -0.35779 Ry/atom
! Crystal system = monoclinic

***

Record 4
! PBE HgPIr, optimized geometry; values from VASP
&SYSTEM
  ibrav = 0, nat = 3, ntyp = 3
/
ATOMIC_SPECIES
Hg 200.59 Hg.upf
Ir 192.22 Ir.upf
P 30.97 P.upf
CELL_PARAMETERS angstrom
-0.3591 3.2019 -0.8286
-1.3223 -2.3734 -1.9199
-5.1640 0.2586 3.2370
ATOMIC_POSITIONS crystal
Hg 0.0000 0.0000 0.0210
Ir 0.6667 0.3333 0.3885
P 0.3333 0.6667 0.5904
! Space group = P3m1
! Energy relative to the lowest polymorph listed for this composition = 0.000 kcal/mol of atoms
! DFT formation energy = -5.8 kJ per mole of atoms
! E = -0.36146 Ry/atom
! Crystal system = trigonal

***

Record 5
! PBE HgPIr2, optimized geometry; values from VASP
&SYSTEM
  ibrav = 0, nat = 4, ntyp = 3
/
ATOMIC_SPECIES
Hg 200.59 Hg.upf
Ir 192.22 Ir.upf
P 30.97 P.upf
CELL_PARAMETERS angstrom
3.3359 0.1078 2.9826
-0.8688 0.8990 4.2980
0.3552 -3.2302 3.0783
ATOMIC_POSITIONS crystal
Hg 0.5000 0.5000 0.5000
Ir 0.2500 0.2500 0.2500
Ir 0.7500 0.7500 0.7500
P 0.0000 0.0000 0.0000
! Space group = Fm-3m
! Energy relative to the lowest polymorph listed for this composition = 13.447 kcal/mol of atoms
! DFT formation energy = 58.5 kJ per mole of atoms
! E = -0.38606 Ry/atom
! Crystal system = cubic

***

Record 6
! PBE HgPIr2, optimized geometry; values from VASP
&SYSTEM
  ibrav = 0, nat = 8, ntyp = 3
/
ATOMIC_SPECIES
Ir 192.22 Ir.upf
P 30.97 P.upf
Hg 200.59 Hg.upf
CELL_PARAMETERS angstrom
6.9384 0.0000 0.0000
0.0000 6.9384 0.0000
3.4692 3.4692 2.8389
ATOMIC_POSITIONS crystal
Ir 0.3750 0.4496 0.7500
Ir 0.8750 0.8004 0.7500
Ir 0.5504 0.1250 0.2500
Ir 0.1996 0.6250 0.2500
P 0.5000 0.5000 0.0000
P 0.2500 0.7500 0.5000
Hg 0.7500 0.2500 0.5000
Hg 0.0000 0.0000 0.0000
! Space group = I-42d
! Energy relative to the lowest polymorph listed for this composition = 2.457 kcal/mol of atoms
! DFT formation energy = 12.5 kJ per mole of atoms
! E = -0.42108 Ry/atom
! Crystal system = tetragonal

***

Record 7
! PBE Hg2PIr, optimized geometry; values from VASP
&SYSTEM
  ibrav = 0, nat = 8, ntyp = 3
/
ATOMIC_SPECIES
Ir 192.22 Ir.upf
P 30.97 P.upf
Hg 200.59 Hg.upf
CELL_PARAMETERS angstrom
-5.1588 5.0994 2.6547
-5.6572 -5.1376 -1.1248
-5.0607 -0.9342 3.1978
ATOMIC_POSITIONS crystal
Ir 0.7500 0.2500 0.5000
Ir 0.0000 0.0000 0.0000
P 0.2500 0.7500 0.5000
P 0.5000 0.5000 0.0000
Hg 0.8750 0.8627 0.7500
Hg 0.3750 0.3873 0.7500
Hg 0.6127 0.1250 0.2500
Hg 0.1373 0.6250 0.2500
! Space group = I-42d
! DFT formation energy = 70.5 kJ per mole of atoms
! E = -0.21960 Ry/atom
! Crystal system = tetragonal

***

Record 8
! PBE HgP2Ir, optimized geometry; values from VASP
&SYSTEM
  ibrav = 0, nat = 4, ntyp = 3
/
ATOMIC_SPECIES
P 30.97 P.upf
Ir 192.22 Ir.upf
Hg 200.59 Hg.upf
CELL_PARAMETERS angstrom
5.9268 0.0079 -0.0077
3.1839 4.9990 0.0077
-3.8701 -3.7504 2.4666
ATOMIC_POSITIONS crystal
P 0.0600 0.0600 0.0000
P 0.4400 0.4400 0.0000
Ir 0.2500 0.7500 0.5000
Hg 0.7500 0.2500 0.5000
! Space group = Immm
! DFT formation energy = 28.6 kJ per mole of atoms
! E = -0.34539 Ry/atom
! Crystal system = orthorhombic

***

Record 9
! PBE Hg2PIr, optimized geometry; values from VASP
&SYSTEM
  ibrav = 0, nat = 4, ntyp = 3
/
ATOMIC_SPECIES
Hg 200.59 Hg.upf
P 30.97 P.upf
Ir 192.22 Ir.upf
CELL_PARAMETERS angstrom
2.9430 0.0000 0.0000
0.0000 2.9436 0.0000
0.0000 0.0000 9.6564
ATOMIC_POSITIONS crystal
Hg 0.5000 0.5000 0.2936
Hg 0.0000 0.0000 0.9909
P 0.5000 0.5000 0.6715
Ir 0.0000 0.0000 0.5439
! Space group = P4mm
! DFT formation energy = 1.8 kJ per mole of atoms
! E = -0.27196 Ry/atom
! Crystal system = tetragonal

***

Record 10
! PBE HgPIr2, optimized geometry; values from VASP
&SYSTEM
  ibrav = 0, nat = 4, ntyp = 3
/
ATOMIC_SPECIES
P 30.97 P.upf
Hg 200.59 Hg.upf
Ir 192.22 Ir.upf
CELL_PARAMETERS angstrom
-3.4472 -2.0269 2.3708
2.0428 -0.5452 4.1403
-0.2921 3.9632 -2.4124
ATOMIC_POSITIONS crystal
P 0.2500 0.7500 0.5000
Hg 0.7500 0.2500 0.5000
Ir 0.0000 0.0000 0.0000
Ir 0.5000 0.5000 0.0000
! Space group = I4/mmm
! Energy relative to the lowest polymorph listed for this composition = 12.440 kcal/mol of atoms
! DFT formation energy = 54.2 kJ per mole of atoms
! E = -0.38926 Ry/atom
! Crystal system = tetragonal

***

Record 11
! PBE Hg3PIr, optimized geometry; values from VASP
&SYSTEM
  ibrav = 0, nat = 5, ntyp = 3
/
ATOMIC_SPECIES
Ir 192.22 Ir.upf
P 30.97 P.upf
Hg 200.59 Hg.upf
CELL_PARAMETERS angstrom
-3.3252 -3.7319 0.0972
3.3181 -3.0141 -2.2132
1.7107 -1.4075 4.4817
ATOMIC_POSITIONS crystal
Ir 0.5000 0.5000 0.5000
P 0.0000 0.0000 0.0000
Hg 0.5000 0.0000 0.0000
Hg 0.0000 0.5000 0.0000
Hg 0.0000 0.0000 0.5000
! Space group = Pm-3m
! Energy relative to the lowest polymorph listed for this composition = 6.198 kcal/mol of atoms
! DFT formation energy = 113.6 kJ per mole of atoms
! E = -0.13658 Ry/atom
! Crystal system = cubic

***

Record 12
! PBE Hg2PIr, optimized geometry; values from VASP
&SYSTEM
  ibrav = 0, nat = 4, ntyp = 3
/
ATOMIC_SPECIES
Hg 200.59 Hg.upf
Ir 192.22 Ir.upf
P 30.97 P.upf
CELL_PARAMETERS angstrom
-0.8483 -2.5949 1.1273
2.7106 0.3858 -1.1080
3.3114 2.8713 9.1010
ATOMIC_POSITIONS crystal
Hg 0.0000 0.0000 0.0103
Hg 0.0000 0.0000 0.4897
Ir 0.5000 0.5000 0.2500
P 0.5000 0.5000 0.7500
! Space group = Cmmm
! DFT formation energy = 64.6 kJ per mole of atoms
! E = -0.22410 Ry/atom
! Crystal system = orthorhombic

***

Record 13
! PBE HgPIr, optimized geometry; values from VASP
&SYSTEM
  ibrav = 0, nat = 3, ntyp = 3
/
ATOMIC_SPECIES
Hg 200.59 Hg.upf
P 30.97 P.upf
Ir 192.22 Ir.upf
CELL_PARAMETERS angstrom
3.9557 0.0000 0.0000
-1.9778 3.4257 0.0000
0.0000 0.0000 4.1213
ATOMIC_POSITIONS crystal
Hg 0.0000 0.0000 0.0002
P 0.3333 0.6667 0.5006
Ir 0.6667 0.3333 0.4992
! Space group = P-6m2
! Energy relative to the lowest polymorph listed for this composition = 5.353 kcal/mol of atoms
! DFT formation energy = 16.6 kJ per mole of atoms
! E = -0.34440 Ry/atom
! Crystal system = hexagonal

***

Record 14
! PBE Hg2PIr, optimized geometry; values from VASP
&SYSTEM
  ibrav = 0, nat = 4, ntyp = 3
/
ATOMIC_SPECIES
P 30.97 P.upf
Hg 200.59 Hg.upf
Ir 192.22 Ir.upf
CELL_PARAMETERS angstrom
6.4534 0.0096 -0.0044
3.9549 5.0995 0.0044
-4.6376 -3.7087 2.5268
ATOMIC_POSITIONS crystal
P 0.3191 0.8191 0.5000
Hg 0.0166 0.0166 0.0000
Hg 0.6965 0.1965 0.5000
Ir 0.4678 0.4678 0.0000
! Space group = Imm2
! DFT formation energy = 18.2 kJ per mole of atoms
! E = -0.25941 Ry/atom
! Crystal system = orthorhombic

***

Record 15
! PBE Hg2PIr, optimized geometry; values from VASP
&SYSTEM
  ibrav = 0, nat = 4, ntyp = 3
/
ATOMIC_SPECIES
Hg 200.59 Hg.upf
Ir 192.22 Ir.upf
P 30.97 P.upf
CELL_PARAMETERS angstrom
5.2650 -0.0122 0.0000
2.1710 4.7966 0.0000
-3.7180 -2.3922 2.8591
ATOMIC_POSITIONS crystal
Hg 0.5000 0.5000 0.0000
Hg 0.0000 0.0000 0.0000
Ir 0.2500 0.7500 0.5000
P 0.7500 0.2500 0.5000
! Space group = I4/mmm
! DFT formation energy = 64.9 kJ per mole of atoms
! E = -0.22391 Ry/atom
! Crystal system = tetragonal

***

Record 16
! PBE HgP2Ir, optimized geometry; values from VASP
&SYSTEM
  ibrav = 0, nat = 4, ntyp = 3
/
ATOMIC_SPECIES
P 30.97 P.upf
Hg 200.59 Hg.upf
Ir 192.22 Ir.upf
CELL_PARAMETERS angstrom
2.8580 -0.0127 0.0000
-1.4769 2.4468 0.0000
0.0000 0.0000 10.5703
ATOMIC_POSITIONS crystal
P 0.0000 0.0000 0.9422
P 0.0000 0.0000 0.5578
Hg 0.5000 0.5000 0.2500
Ir 0.5000 0.5000 0.7500
! Space group = Cmmm
! DFT formation energy = 31.1 kJ per mole of atoms
! E = -0.34347 Ry/atom
! Crystal system = orthorhombic

***

Record 17
! PBE Hg2PIr, optimized geometry; values from VASP
&SYSTEM
  ibrav = 0, nat = 4, ntyp = 3
/
ATOMIC_SPECIES
Ir 192.22 Ir.upf
P 30.97 P.upf
Hg 200.59 Hg.upf
CELL_PARAMETERS angstrom
7.5334 0.0076 -0.1398
6.9683 2.8627 -0.1398
0.4513 0.0893 3.8027
ATOMIC_POSITIONS crystal
Ir 0.7500 0.7500 0.7500
P 0.2500 0.2500 0.2500
Hg 0.0691 0.0691 0.9556
Hg 0.4309 0.4309 0.5444
! Space group = C2/m
! DFT formation energy = 22.1 kJ per mole of atoms
! E = -0.25644 Ry/atom
! Crystal system = monoclinic

***

Record 18
! PBE Hg2PIr, optimized geometry; values from VASP
&SYSTEM
  ibrav = 0, nat = 4, ntyp = 3
/
ATOMIC_SPECIES
Hg 200.59 Hg.upf
Ir 192.22 Ir.upf
P 30.97 P.upf
CELL_PARAMETERS angstrom
4.8956 0.0000 0.0000
0.0000 4.8956 0.0000
0.0000 0.0000 3.0819
ATOMIC_POSITIONS crystal
Hg 0.5000 0.5000 0.0000
Hg 0.0000 0.0000 0.0000
Ir 0.5000 0.0000 0.5000
P 0.0000 0.5000 0.5000
! Space group = P4/mmm
! DFT formation energy = 71.1 kJ per mole of atoms
! E = -0.21919 Ry/atom
! Crystal system = tetragonal

***

Record 19
! PBE HgP2Ir, optimized geometry; values from VASP
&SYSTEM
  ibrav = 0, nat = 4, ntyp = 3
/
ATOMIC_SPECIES
Hg 200.59 Hg.upf
Ir 192.22 Ir.upf
P 30.97 P.upf
CELL_PARAMETERS angstrom
-1.9101 -5.2982 -5.1322
1.3121 -5.4687 -5.1410
-0.3806 -7.0407 -2.8882
ATOMIC_POSITIONS crystal
Hg 0.5015 0.5015 0.5015
Ir 0.7329 0.7329 0.7329
P 0.9960 0.9960 0.9960
P 0.2696 0.2696 0.2696
! Space group = R3m
! DFT formation energy = 22.4 kJ per mole of atoms
! E = -0.35008 Ry/atom
! Crystal system = trigonal

***

Record 20
! PBE HgP2Ir, optimized geometry; values from VASP
&SYSTEM
  ibrav = 0, nat = 4, ntyp = 3
/
ATOMIC_SPECIES
Ir 192.22 Ir.upf
P 30.97 P.upf
Hg 200.59 Hg.upf
CELL_PARAMETERS angstrom
3.0601 0.0000 0.0000
0.0000 4.6131 0.0000
0.0000 0.0000 4.6131
ATOMIC_POSITIONS crystal
Ir 0.5000 0.0000 0.5000
P 0.0000 0.5000 0.5000
P 0.0000 0.0000 0.0000
Hg 0.5000 0.5000 0.0000
! Space group = P4/mmm
! DFT formation energy = 67.7 kJ per mole of atoms
! E = -0.31557 Ry/atom
! Crystal system = tetragonal